[1]
Entry from Alexandria via LeMat-Bulk: a relaxed structure of Nb2CrGaHg (GGA-PBE).

Structure (POSCAR):
```
Nb2CrGaHg
1.0
4.784 0.000 0.000
0.000 4.784 0.000
0.000 0.000 4.383
Nb Cr Ga Hg
2 1 1 1
Cartesian
0.000 2.392 0.000 Nb
2.392 0.000 0.000 Nb
0.000 0.000 2.192 Cr
0.000 0.000 0.000 Ga
2.392 2.392 2.192 Hg
```

Output
calculated volume = 20.1 Å³ per atom
spin magnetization = 0.005 μB per formula unit
ΔE_f = 1.095 eV per atom
calculated density = 8.4 g cm⁻³


[2]
Entry from Alexandria via LeMat-Bulk: a relaxed structure of HfMg2In3 (GGA-PBE).

Structure (POSCAR):
```
HfMg2In3
1.0
2.223 -6.782 0.000
2.223 6.782 0.000
0.000 0.000 4.362
Hf Mg In
1 2 3
Cartesian
0.000 0.000 0.000 Hf
2.223 2.253 0.000 Mg
2.223 -2.253 0.000 Mg
2.223 4.528 2.181 In
2.223 0.000 2.181 In
2.223 -4.528 2.181 In
```

Output
calculated volume = 21.9 Å³ per atom
spin magnetization = 0.000 μB per formula unit
ΔE_f = -0.112 eV per atom
calculated density = 7.2 g cm⁻³


[3]
Entry from Alexandria via LeMat-Bulk: a relaxed structure of Cs5CuF8 (GGA-PBE).

Structure (POSCAR):
```
Cs5CuF8
1.0
-4.316 4.316 4.733
4.316 -4.316 4.733
4.316 4.316 -4.733
Cs Cu F
5 1 8
Cartesian
0.000 0.000 0.000 Cs
5.451 1.932 -0.970 Cs
1.932 3.182 0.970 Cs
-1.134 2.385 3.763 Cs
2.385 1.134 5.702 Cs
4.316 0.000 2.366 Cu
2.646 0.890 -0.874 F
4.091 -1.782 2.272 F
6.099 -0.225 2.461 F
2.534 0.225 2.461 F
3.427 -1.670 5.607 F
4.541 1.782 2.272 F
0.890 5.987 0.874 F
1.670 3.427 3.859 F
```

Output
calculated volume = 25.2 Å³ per atom
spin magnetization = 0.258 μB per formula unit
ΔE_f (raw) = -2.3059 eV per atom
calculated density = 4.1 g cm⁻³